ScBi2P | PBE-GGA | optimized geometry

## Properties
formation enthalpy at 0 K = 0.231 eV/atom
E = -4.645 eV per atom

a b c (Å): 6.549 6.549 13.352
angles (deg): 90.00 90.00 90.00
Space group I-42d (No. 122)
Symmetry-distinct sites (fractional):
Sc 0.000 0.000 0.000
Bi 0.228 0.250 0.625
P 0.000 0.000 0.500

***

Sc2Bi2P | PBE-GGA | optimized geometry

## Properties
formation enthalpy at 0 K = -0.537 eV/atom
E = -5.704 eV per atom

a b c (Å): 7.116 7.116 4.776
angles (deg): 90.00 90.00 90.00
Space group P4/mbm (No. 127)
Symmetry-distinct sites (fractional):
Sc 0.168 0.332 0.000
Bi 0.156 0.656 0.500
P 0.000 0.000 0.000

***

| no. | DOS at the Fermi energy (states/eV/cell) | calculated volume (Å³/cell) |
| --- | --- | --- |
| 1 | 1.94 | 572.7 |
| 2 | 11.33 | 241.9 |